A plane-wave DFT calculation with PBE was carried out for an optimized crystal structure of Nd2ZnGe4Rh3.

```
10
Lattice="4.285 0.000 0.000 0.000 4.285 0.000 0.000 0.000 10.222" Properties=species:S:1:pos:R:3 pbc="T T T"
Nd 0.000 2.143 2.486
Nd 2.143 0.000 7.736
Zn 0.000 0.000 5.111
Ge 0.000 0.000 0.000
Ge 0.000 2.143 6.524
Ge 2.143 0.000 3.698
Ge 2.143 2.143 0.000
Rh 0.000 2.143 8.970
Rh 2.143 0.000 1.253
Rh 2.143 2.143 5.111
```

## Properties
Uncorrected energy   -5.887 eV per atom
SG   P-4m2
DFT formation energy   -0.754 eV per atom